! Y2ZnHg meta-GGA SCAN single point on PBEsol structure; values from VASP
&SYSTEM
  ibrav = 0, nat = 16, ntyp = 3
/
ATOMIC_SPECIES
Y 88.91 Y.upf
Zn 65.41 Zn.upf
Hg 200.59 Hg.upf
CELL_PARAMETERS angstrom
7.2027 0.0000 0.0000
0.0000 7.2027 0.0000
0.0000 0.0000 7.2027
ATOMIC_POSITIONS angstrom
Y 1.8007 1.8007 1.8007
Y 1.8007 1.8007 5.4020
Y 1.8007 5.4020 1.8007
Y 1.8007 5.4020 5.4020
Y 5.4020 1.8007 1.8007
Y 5.4020 1.8007 5.4020
Y 5.4020 5.4020 1.8007
Y 5.4020 5.4020 5.4020
Zn 0.0000 0.0000 0.0000
Zn 0.0000 3.6014 3.6014
Zn 3.6014 0.0000 3.6014
Zn 3.6014 3.6014 0.0000
Hg 0.0000 0.0000 3.6014
Hg 0.0000 3.6014 0.0000
Hg 3.6014 0.0000 0.0000
Hg 3.6014 3.6014 3.6014
! Total magnetic moment = 0.00 μB per formula unit
! Calculated volume = 23.35 Å³/atom
! Theoretical density = 7.889 g cm⁻³
! SG = No. 225
! Polymorph energy (0 for the lowest one) = 0.000 eV/atom